[1]
! AcNdGdSc | the Alexandria database | PBE | optimized geometry; values from VASP
&SYSTEM
  ibrav = 0, nat = 4, ntyp = 4
/
ATOMIC_SPECIES
Sc 44.96 Sc.upf
Ac 227.00 Ac.upf
Gd 157.25 Gd.upf
Nd 144.24 Nd.upf
ATOMIC_POSITIONS crystal
Sc 0.7500 0.7500 0.7500
Ac 0.2500 0.2500 0.2500
Gd 0.5000 0.5000 0.5000
Nd 0.0000 0.0000 0.0000
CELL_PARAMETERS angstrom
5.7825 0.0000 0.0000
2.8913 5.0078 0.0000
2.8913 1.6693 4.7214
! Total moment, Bohr magnetons per cell: 9.06
! ρ, g/cm3: 6.965
! Energy of formation, eV/atom: 0.18

***

[2]
! Ac3Sm3YTe8 | the Alexandria database | PBE | optimized geometry; values from VASP
&SYSTEM
  ibrav = 0, nat = 15, ntyp = 4
/
ATOMIC_SPECIES
Ac 227.00 Ac.upf
Sm 150.36 Sm.upf
Y 88.91 Y.upf
Te 127.60 Te.upf
ATOMIC_POSITIONS crystal
Ac 0.0000 0.0000 0.0000
Ac 0.0000 0.5000 0.0000
Ac 0.5000 0.5000 0.0000
Sm 0.5000 0.0000 0.5000
Sm 0.5000 0.5000 0.5000
Sm 0.0000 0.5000 0.5000
Y 0.0000 0.0000 0.5000
Te 0.2562 0.5124 0.2686
Te 0.7438 0.4876 0.7314
Te 0.7542 0.5085 0.2663
Te 0.2458 0.4915 0.7337
Te 0.7542 0.0120 0.2663
Te 0.2458 0.9880 0.7337
Te 0.2578 0.0120 0.2663
Te 0.7422 0.9880 0.7337
CELL_PARAMETERS angstrom
9.0434 0.0000 0.0000
-4.5217 7.8317 -0.0280
0.0000 -5.1939 7.6112
! Total moment, Bohr magnetons per cell: 0.00
! ρ, g/cm3: 6.922
! Formation energy without anion corrections, kJ per mole of atoms: -141.3

***

- Which value of ρ does entry 2 give?
  6.922 g/cm3

***

- What is the formula in the first record?
  AcNdGdSc

***

- What is the total moment in the second record?
  0.00 Bohr magnetons per cell

***

- Which of these has the highest total moment?
  AcNdGdSc